Entry 1:
Compound: AlSnPd5
Source: Alexandria
Functional: PBE
Structure: relaxed

a = 5.546 Å, b = 5.546 Å, c = 9.314 Å
α = 103.78°, β = 103.78°, γ = 62.04°
Element x y z (fractional)
Al1 0.000 0.500 0.000
Al2 0.500 0.000 0.500
Sn1 0.136 0.864 0.750
Sn2 0.864 0.136 0.250
Pd1 0.161 0.338 0.738
Pd2 0.249 0.514 0.502
Pd3 0.331 0.669 0.250
Pd4 0.338 0.161 0.238
Pd5 0.486 0.751 0.998
Pd6 0.514 0.249 0.002
Pd7 0.662 0.839 0.762
Pd8 0.669 0.331 0.750
Pd9 0.751 0.486 0.498
Pd10 0.839 0.662 0.262

Summary:
Its space group is C2/c, No. 15. As for the crystal system: monoclinic. The formation energy from the elements is -0.4116 eV per atom. Its polymorph energy (0 for the lowest one) is 101 kJ/mol of formula units.

Entry 2:
Compound: Li7HgN2
Source: Alexandria
Functional: PBE
Structure: relaxed

a = 6.215 Å, b = 6.215 Å, c = 3.977 Å
α = 90.00°, β = 90.00°, γ = 117.61°
Element x y z (fractional)
Li1 0.000 0.000 0.000
Li2 0.154 0.465 0.000
Li3 0.188 0.812 0.500
Li4 0.465 0.154 0.000
Li5 0.535 0.846 0.000
Li6 0.812 0.188 0.500
Li7 0.846 0.535 0.000
Hg1 0.500 0.500 0.500
N1 0.188 0.812 0.000
N2 0.812 0.188 0.000

Summary:
Its space group is Cmmm, No. 65. As for the crystal system: orthorhombic. The value obtained for the uncorrected formation energy is -0.337 eV per atom.

Entry 3:
Compound: Pa6Co6Hg
Source: Alexandria
Functional: PBE
Structure: relaxed

a = 7.156 Å, b = 7.156 Å, c = 7.156 Å
α = 135.63°, β = 98.23°, γ = 98.17°
Element x y z (fractional)
Pa1 0.158 0.500 0.658
Pa2 0.182 0.182 0.000
Pa3 0.322 0.000 0.322
Pa4 0.678 0.000 0.678
Pa5 0.818 0.818 0.000
Pa6 0.842 0.500 0.342
Co1 0.000 0.000 0.500
Co2 0.000 0.500 0.000
Co3 0.253 0.753 0.500
Co4 0.500 0.000 0.000
Co5 0.500 0.500 0.500
Co6 0.747 0.247 0.500
Hg1 0.500 0.500 0.000

Summary:
Its space group is Immm, No. 71. As for the crystal system: orthorhombic. The formation energy from the elements is -0.1784 eV per atom.

Entry 4:
Compound: Ac2ScUO6
Source: Alexandria
Functional: PBE
Structure: relaxed

a = 5.921 Å, b = 5.973 Å, c = 6.135 Å
α = 61.61°, β = 61.18°, γ = 60.36°
Element x y z (fractional)
Ac1 0.248 0.234 0.270
Ac2 0.752 0.766 0.730
Sc1 0.500 0.500 0.500
U1 0.000 0.000 0.000
O1 0.182 0.800 0.335
O2 0.258 0.633 0.853
O3 0.318 0.199 0.666
O4 0.682 0.801 0.334
O5 0.742 0.367 0.147
O6 0.818 0.200 0.665

Summary:
Its space group is P-1, No. 2. As for the crystal system: triclinic. The value obtained for the uncorrected formation energy is -3.162 eV per atom.

Entry 5:
Compound: CsLi2Mn
Source: Alexandria
Functional: PBE
Structure: relaxed

a = 5.675 Å, b = 5.675 Å, c = 5.675 Å
α = 60.00°, β = 60.00°, γ = 60.00°
Element x y z (fractional)
Cs1 0.000 0.000 0.000
Li1 0.250 0.250 0.250
Li2 0.750 0.750 0.750
Mn1 0.500 0.500 0.500

Summary:
Its space group is Fm-3m, No. 225. As for the crystal system: cubic. The formation energy from the elements is 0.7447 eV per atom.

Entry 6:
Compound: Cr2Os6Ru
Source: Alexandria
Functional: PBE
Structure: relaxed

a = 6.731 Å, b = 6.731 Å, c = 8.472 Å
α = 123.51°, β = 123.51°, γ = 63.21°
Element x y z (fractional)
Cr1 0.098 0.298 0.499
Cr2 0.298 0.098 0.999
Cr3 0.702 0.902 0.001
Cr4 0.902 0.702 0.501
Os1 0.014 0.790 0.864
Os2 0.145 0.587 0.202
Os3 0.210 0.986 0.636
Os4 0.311 0.404 0.910
Os5 0.404 0.311 0.410
Os6 0.413 0.855 0.298
Os7 0.587 0.145 0.702
Os8 0.596 0.689 0.590
Os9 0.689 0.596 0.090
Os10 0.790 0.014 0.364
Os11 0.855 0.413 0.798
Os12 0.986 0.210 0.136
Ru1 0.369 0.631 0.750
Ru2 0.631 0.369 0.250

Summary:
Its space group is C2/c, No. 15. As for the crystal system: monoclinic. The formation energy from the elements is 0.2944 eV per atom.

Entry 7:
Compound: NiC2
Source: Alexandria
Functional: PBE
Structure: relaxed

a = 3.447 Å, b = 3.447 Å, c = 3.447 Å
α = 122.56°, β = 122.56°, γ = 85.62°
Element x y z (fractional)
Ni1 0.000 0.000 0.000
C1 0.372 0.372 0.000
C2 0.628 0.628 0.000

Summary:
Its space group is I4/mmm, No. 139. As for the crystal system: tetragonal. The formation energy from the elements is 1.1898 eV per atom. Its polymorph energy (0 for the lowest one) is 223 kJ/mol of formula units.

Entry 8:
Compound: BaCa3S4
Source: Alexandria
Functional: PBE
Structure: relaxed

a = 4.145 Å, b = 4.145 Å, c = 27.496 Å
α = 90.00°, β = 90.00°, γ = 120.00°
Element x y z (fractional)
Ba1 0.333 0.667 0.250
Ba2 0.667 0.333 0.750
Ca1 0.000 0.000 0.000
Ca2 0.000 0.000 0.500
Ca3 0.333 0.667 0.618
Ca4 0.333 0.667 0.882
Ca5 0.667 0.333 0.118
Ca6 0.667 0.333 0.382
S1 0.000 0.000 0.176
S2 0.000 0.000 0.324
S3 0.000 0.000 0.676
S4 0.000 0.000 0.824
S5 0.333 0.667 0.059
S6 0.333 0.667 0.441
S7 0.667 0.333 0.559
S8 0.667 0.333 0.941

Summary:
Its space group is P6_3/mmc, No. 194. As for the crystal system: hexagonal. The value obtained for the uncorrected formation energy is -2.095 eV per atom.

Entry 9:
Compound: Ce2ZrPd9
Source: Alexandria
Functional: PBE
Structure: relaxed

a = 4.120 Å, b = 4.120 Å, c = 12.365 Å
α = 90.00°, β = 90.00°, γ = 90.00°
Element x y z (fractional)
Ce1 0.000 0.000 0.169
Ce2 0.000 0.000 0.831
Zr1 0.000 0.000 0.500
Pd1 0.000 0.500 0.000
Pd2 0.000 0.500 0.341
Pd3 0.000 0.500 0.659
Pd4 0.500 0.000 0.000
Pd5 0.500 0.000 0.341
Pd6 0.500 0.000 0.659
Pd7 0.500 0.500 0.171
Pd8 0.500 0.500 0.500
Pd9 0.500 0.500 0.829

Summary:
Its space group is P4/mmm, No. 123. As for the crystal system: tetragonal. The formation energy from the elements is -0.8061 eV per atom.

Entry 10:
Compound: Ba2CdCoBi
Source: Alexandria
Functional: PBE
Structure: relaxed

a = 6.571 Å, b = 6.571 Å, c = 5.462 Å
α = 90.00°, β = 90.00°, γ = 90.00°
Element x y z (fractional)
Ba1 0.000 0.500 0.000
Ba2 0.500 0.000 0.000
Cd1 0.000 0.000 0.000
Co1 0.500 0.500 0.500
Bi1 0.000 0.000 0.500

Summary:
Its space group is P4/mmm, No. 123. As for the crystal system: tetragonal. The formation energy from the elements is 0.5285 eV per atom.

Entry 11:
Compound: AcPr4Pt
Source: Alexandria
Functional: PBE
Structure: relaxed

a = 10.017 Å, b = 10.017 Å, c = 8.034 Å
α = 90.00°, β = 90.00°, γ = 145.53°
Element x y z (fractional)
Ac1 0.111 0.889 0.750
Ac2 0.889 0.111 0.250
Pr1 0.117 0.883 0.250
Pr2 0.293 0.707 0.005
Pr3 0.293 0.707 0.495
Pr4 0.500 0.500 0.000
Pr5 0.500 0.500 0.500
Pr6 0.707 0.293 0.505
Pr7 0.707 0.293 0.995
Pr8 0.883 0.117 0.750
Pt1 0.396 0.604 0.750
Pt2 0.604 0.396 0.250

Summary:
Its space group is Cmcm, No. 63. As for the crystal system: orthorhombic. The formation energy from the elements is -0.2420 eV per atom.

Entry 12:
Compound: CaTeAuSeS
Source: Alexandria
Functional: PBE
Structure: relaxed

a = 4.696 Å, b = 4.904 Å, c = 6.525 Å
α = 73.45°, β = 82.49°, γ = 74.89°
Element x y z (fractional)
Ca1 0.000 0.000 0.000
Te1 0.373 0.986 0.378
Au1 0.390 0.503 0.748
Se1 0.609 0.583 0.048
S1 0.089 0.337 0.571

Summary:
Its space group is P1, No. 1. As for the crystal system: triclinic. The value obtained for the uncorrected formation energy is -0.654 eV per atom. Its polymorph energy (0 for the lowest one) is 50 kJ/mol of formula units.

Entry 13:
Compound: Co2Ni8Pt3
Source: Alexandria
Functional: PBE
Structure: relaxed

a = 5.895 Å, b = 3.700 Å, c = 7.736 Å
α = 90.00°, β = 102.66°, γ = 90.00°
Element x y z (fractional)
Co1 0.193 0.000 0.077
Co2 0.807 0.000 0.923
Ni1 0.060 0.000 0.347
Ni2 0.086 0.500 0.873
Ni3 0.344 0.500 0.257
Ni4 0.383 0.000 0.830
Ni5 0.617 0.000 0.170
Ni6 0.656 0.500 0.743
Ni7 0.914 0.500 0.127
Ni8 0.940 0.000 0.653
Pt1 0.222 0.500 0.589
Pt2 0.500 0.000 0.500
Pt3 0.778 0.500 0.411

Summary:
Its space group is P2/m, No. 10. As for the crystal system: monoclinic. The formation energy from the elements is 0.0854 eV per atom. Its polymorph energy (0 for the lowest one) is 0 kJ/mol of formula units.

Entry 14:
Compound: BeCoRu2
Source: Alexandria
Functional: PBE
Structure: relaxed

a = 2.634 Å, b = 3.668 Å, c = 5.040 Å
α = 90.00°, β = 100.94°, γ = 90.00°
Element x y z (fractional)
Be1 0.000 0.000 0.000
Co1 0.000 0.000 0.500
Ru1 0.389 0.500 0.238
Ru2 0.611 0.500 0.762

Summary:
Its space group is P2/m, No. 10. As for the crystal system: monoclinic. The formation energy from the elements is 0.1202 eV per atom.

Entry 15:
Compound: Sn3HgAu
Source: Alexandria
Functional: PBE
Structure: relaxed

a = 5.429 Å, b = 5.429 Å, c = 5.429 Å
α = 90.00°, β = 90.00°, γ = 90.00°
Element x y z (fractional)
Sn1 0.000 0.000 0.500
Sn2 0.000 0.500 0.000
Sn3 0.500 0.000 0.000
Hg1 0.500 0.500 0.500
Au1 0.000 0.000 0.000

Summary:
Its space group is Pm-3m, No. 221. As for the crystal system: cubic. The formation energy from the elements is 0.3068 eV per atom. Its polymorph energy (0 for the lowest one) is 162 kJ/mol of formula units.

Entry 16:
Compound: NaB6
Source: Alexandria
Functional: PBE
Structure: relaxed

a = 4.165 Å, b = 4.165 Å, c = 4.165 Å
α = 90.00°, β = 90.00°, γ = 90.00°
Element x y z (fractional)
Na1 0.000 0.000 0.000
B1 0.198 0.500 0.500
B2 0.500 0.198 0.500
B3 0.500 0.500 0.198
B4 0.500 0.500 0.802
B5 0.500 0.802 0.500
B6 0.802 0.500 0.500

Summary:
Its space group is Pm-3m, No. 221. As for the crystal system: cubic. The formation energy from the elements is -0.0220 eV per atom. Its polymorph energy (0 for the lowest one) is 0 kJ/mol of formula units.

Entry 17:
Compound: AsHRuBr2
Source: Alexandria
Functional: PBE
Structure: relaxed

a = 5.278 Å, b = 5.278 Å, c = 4.622 Å
α = 90.00°, β = 90.00°, γ = 90.00°
Element x y z (fractional)
As1 0.000 0.000 0.000
H1 0.500 0.500 0.000
Ru1 0.000 0.000 0.500
Br1 0.000 0.500 0.500
Br2 0.500 0.000 0.500

Summary:
Its space group is P4/mmm, No. 123. As for the crystal system: tetragonal. Its polymorph energy (0 for the lowest one) is 0 kJ/mol of formula units.

Entry 18:
Compound: Ba2Sn2N
Source: Alexandria
Functional: PBE
Structure: relaxed

a = 7.228 Å, b = 7.228 Å, c = 5.698 Å
α = 90.00°, β = 90.00°, γ = 90.00°
Element x y z (fractional)
Ba1 0.166 0.334 0.000
Ba2 0.334 0.834 0.000
Ba3 0.666 0.166 0.000
Ba4 0.834 0.666 0.000
Sn1 0.156 0.656 0.500
Sn2 0.344 0.156 0.500
Sn3 0.656 0.844 0.500
Sn4 0.844 0.344 0.500
N1 0.000 0.000 0.500
N2 0.500 0.500 0.500

Summary:
Its space group is P4/mbm, No. 127. As for the crystal system: tetragonal. The value obtained for the uncorrected formation energy is 0.298 eV per atom.

Entry 19:
Compound: CdBW3
Source: Alexandria
Functional: PBE
Structure: relaxed

a = 4.827 Å, b = 4.827 Å, c = 4.827 Å
α = 90.00°, β = 90.00°, γ = 90.00°
Element x y z (fractional)
Cd1 0.000 0.000 0.000
B1 0.500 0.500 0.500
W1 0.000 0.000 0.500
W2 0.000 0.500 0.000
W3 0.500 0.000 0.000

Summary:
Its space group is Pm-3m, No. 221. As for the crystal system: cubic. The formation energy from the elements is 3.9548 eV per atom. Its polymorph energy (0 for the lowest one) is 1652 kJ/mol of formula units.

Entry 20:
Compound: Mo2P
Source: Alexandria
Functional: PBE
Structure: relaxed

a = 5.292 Å, b = 5.292 Å, c = 5.292 Å
α = 147.28°, β = 147.28°, γ = 46.95°
Element x y z (fractional)
Mo1 0.147 0.147 0.000
Mo2 0.853 0.853 0.000
P1 0.500 0.500 0.000

Summary:
Its space group is I4/mmm, No. 139. As for the crystal system: tetragonal. The formation energy from the elements is -0.1673 eV per atom. Its polymorph energy (0 for the lowest one) is 63 kJ/mol of formula units.

Entry 21:
Compound: YInCuAg
Source: Alexandria
Functional: PBE
Structure: relaxed

a = 4.848 Å, b = 4.848 Å, c = 4.848 Å
α = 60.00°, β = 60.00°, γ = 60.00°
Element x y z (fractional)
Y1 0.000 0.000 0.000
In1 0.500 0.500 0.500
Cu1 0.250 0.250 0.250
Ag1 0.750 0.750 0.750

Summary:
Its space group is F-43m, No. 216. As for the crystal system: cubic. The formation energy from the elements is -0.3250 eV per atom.

Entry 22:
Compound: CrTeRh2
Source: Alexandria
Functional: PBE
Structure: relaxed

a = 8.559 Å, b = 8.559 Å, c = 8.559 Å
α = 20.39°, β = 20.39°, γ = 20.39°
Element x y z (fractional)
Cr1 0.000 0.000 0.000
Te1 0.500 0.500 0.500
Rh1 0.256 0.256 0.256
Rh2 0.744 0.744 0.744

Summary:
Its space group is R-3m, No. 166. As for the crystal system: trigonal. The value obtained for the uncorrected formation energy is 0.271 eV per atom.

Entry 23:
Compound: KOs2Rh
Source: Alexandria
Functional: PBE
Structure: relaxed

a = 2.692 Å, b = 2.692 Å, c = 9.664 Å
α = 90.00°, β = 90.00°, γ = 90.00°
Element x y z (fractional)
K1 0.000 0.000 0.000
Os1 0.500 0.500 0.298
Os2 0.500 0.500 0.702
Rh1 0.000 0.000 0.500

Summary:
Its space group is P4/mmm, No. 123. As for the crystal system: tetragonal. The formation energy from the elements is 0.8780 eV per atom. Its polymorph energy (0 for the lowest one) is 84 kJ/mol of formula units.

Entry 24:
Compound: TaCoP2
Source: Alexandria
Functional: PBE
Structure: relaxed

a = 7.368 Å, b = 7.368 Å, c = 7.368 Å
α = 23.62°, β = 23.62°, γ = 23.62°
Element x y z (fractional)
Ta1 0.000 0.000 0.000
Co1 0.765 0.765 0.765
P1 0.247 0.247 0.247
P2 0.497 0.497 0.497

Summary:
Its space group is R3m, No. 160. As for the crystal system: trigonal. The formation energy from the elements is -0.0521 eV per atom. Its polymorph energy (0 for the lowest one) is 177 kJ/mol of formula units.

Entry 25:
Compound: BeAl2IF
Source: Alexandria
Functional: PBE
Structure: relaxed

a = 4.518 Å, b = 4.518 Å, c = 5.049 Å
α = 90.00°, β = 90.00°, γ = 90.00°
Element x y z (fractional)
Be1 0.000 0.000 0.000
Al1 0.000 0.500 0.000
Al2 0.500 0.000 0.000
I1 0.000 0.000 0.500
F1 0.500 0.500 0.500

Summary:
Its space group is P4/mmm, No. 123. As for the crystal system: tetragonal. The value obtained for the uncorrected formation energy is -0.007 eV per atom. Its polymorph energy (0 for the lowest one) is 0 kJ/mol of formula units.

no.,magnetic moment (μB per cell)
1,0.00
2,0.00
3,0.00
4,2.92
5,3.74
6,0.00
7,0.00
8,0.00
9,0.93
10,2.02
11,0.00
12,0.00
13,9.74
14,0.96
15,0.00
16,0.00
17,1.52
18,0.00
19,0.00
20,0.00
21,0.00
22,2.62
23,0.00
24,0.30
25,0.00